# AlBr3

A relaxed AlBr3 crystal (PBE-GGA, Alexandria via LeMat-Bulk).

Computed properties:
The value obtained for the energy relative to the elements, uncorrected is -1044 meV/atom. The value obtained for the density is 2.7 g cm⁻³.

```
data_AlBr3
_cell_length_a 6.876
_cell_length_b 11.547
_cell_length_c 8.415
_cell_angle_alpha 90.00
_cell_angle_beta 90.00
_cell_angle_gamma 90.00
_symmetry_space_group_name_H-M 'P n m a'
_symmetry_Int_Tables_number 62
_symmetry_space_group_name_Hall '-P 2ac 2n'
loop_
_atom_site_label
_atom_site_type_symbol
_atom_site_fract_x
_atom_site_fract_y
_atom_site_fract_z
Al1 Al 0.182 0.250 0.167
Br1 Br 0.071 0.604 0.756
Br2 Br 0.193 0.250 0.897
```